# TaCrBr2, relaxed, DFT PBEsol
data_TaCrBr2
_chemical_formula_sum 'Ta2 Cr2 Br4'
_space_group_name_H-M_alt 'I -4 m 2'
_space_group_IT_number 119
_space_group_name_Hall 'I -4 -2'
_cell_length_a 3.743
_cell_length_b 3.743
_cell_length_c 10.731
_cell_angle_alpha 90.00
_cell_angle_beta 90.00
_cell_angle_gamma 90.00
loop_
_atom_site_label
_atom_site_type_symbol
_atom_site_fract_x
_atom_site_fract_y
_atom_site_fract_z
_atom_site_occupancy
Ta1 Ta 0.000 0.000 0.000 1
Cr1 Cr 0.000 0.500 0.750 1
Br1 Br 0.000 0.000 0.500 1
Br2 Br 0.000 0.500 0.250 1
# Density of states at the Fermi level, states/eV/f.u.: 3.95
# Uncorrected formation energy, eV/atom: 0.87
# Crystal system: tetragonal
# ΔE to the lowest computed polymorph, meV/atom: 750



# Mg2Be2Se, relaxed, DFT PBEsol
data_Mg2Be2Se
_chemical_formula_sum 'Mg4 Be4 Se2'
_space_group_name_H-M_alt 'I 4/m m m'
_space_group_IT_number 139
_space_group_name_Hall '-I 4 2'
_cell_length_a 3.276
_cell_length_b 3.276
_cell_length_c 15.210
_cell_angle_alpha 90.00
_cell_angle_beta 90.00
_cell_angle_gamma 90.00
loop_
_atom_site_label
_atom_site_type_symbol
_atom_site_fract_x
_atom_site_fract_y
_atom_site_fract_z
_atom_site_occupancy
Mg1 Mg 0.000 0.000 0.104 1
Be1 Be 0.000 0.500 0.250 1
Se1 Se 0.000 0.000 0.500 1
# Density of states at the Fermi level, states/eV/f.u.: 2.25
# Uncorrected formation energy, eV/atom: 0.05
# Crystal system: tetragonal